# MgGa6Ag2, relaxed, DFT PBE-GGA
# DOS(E_F)	2.98	states/eV/f.u.
# E	-2.843	eV/atom
# E_form	-0.0142	eV per atom
# total moment	0.00	Bohr magnetons per cell
data_MgGa6Ag2
_chemical_formula_sum 'Mg2 Ga12 Ag4'
_space_group_name_H-M_alt 'P 1 21/c 1'
_space_group_IT_number 14
_space_group_name_Hall '-P 2ybc'
_cell_length_a 5.2313
_cell_length_b 7.1898
_cell_length_c 10.0274
_cell_angle_alpha 90.00
_cell_angle_beta 114.21
_cell_angle_gamma 90.00
loop_
_atom_site_label
_atom_site_type_symbol
_atom_site_fract_x
_atom_site_fract_y
_atom_site_fract_z
Mg1 Mg 0.0000 0.0000 0.0000
Ga1 Ga 0.1431 0.0696 0.3073
Ga2 Ga 0.2365 0.6238 0.0686
Ga3 Ga 0.4694 0.2226 0.6151
Ag1 Ag 0.3722 0.0828 0.8513